Record 1
! Ce2Zn5Pt5 (PBE-GGA, optimized geometry); values from VASP
&SYSTEM
  ibrav = 0, nat = 12, ntyp = 3
/
ATOMIC_SPECIES
Ce 140.12 Ce.upf
Pt 195.08 Pt.upf
Zn 65.41 Zn.upf
CELL_PARAMETERS angstrom
4.381 0.000 0.000
0.000 5.291 0.000
0.000 0.000 9.325
ATOMIC_POSITIONS crystal
Ce 0.000 0.500 0.000
Ce 0.000 0.000 0.500
Pt 0.000 0.000 0.821
Pt 0.000 0.500 0.667
Pt 0.000 0.000 0.179
Pt 0.000 0.500 0.333
Pt 0.500 0.000 0.000
Zn 0.500 0.249 0.250
Zn 0.500 0.249 0.750
Zn 0.500 0.751 0.250
Zn 0.500 0.751 0.750
Zn 0.500 0.500 0.500
! - Total DFT energy (no corrections): -4.758 eV per atom

Record 2
! TbPuCd2 (PBE-GGA, optimized geometry); values from VASP
&SYSTEM
  ibrav = 0, nat = 4, ntyp = 3
/
ATOMIC_SPECIES
Pu 244.00 Pu.upf
Tb 158.93 Tb.upf
Cd 112.41 Cd.upf
CELL_PARAMETERS angstrom
-0.748 -2.595 -1.813
0.049 -1.872 2.660
-9.330 1.723 1.384
ATOMIC_POSITIONS crystal
Pu 0.500 0.500 0.500
Tb 0.500 0.500 0.000
Cd 0.000 0.000 0.245
Cd 0.000 0.000 0.755
! - Polymorph energy (0 for the lowest one): 2.2 meV/atom

Record 3
! TcSbTe2N (PBE-GGA, optimized geometry); values from VASP
&SYSTEM
  ibrav = 0, nat = 5, ntyp = 4
/
ATOMIC_SPECIES
Sb 121.76 Sb.upf
Te 127.60 Te.upf
Tc 98.00 Tc.upf
N 14.01 N.upf
CELL_PARAMETERS angstrom
5.473 0.000 0.000
0.000 5.473 0.000
0.000 0.000 3.755
ATOMIC_POSITIONS crystal
Sb 0.500 0.500 0.500
Te 0.000 0.500 0.000
Te 0.500 0.000 0.000
Tc 0.000 0.000 0.000
N 0.000 0.000 0.500
! - E_form (uncorrected): 0.26 eV per atom
! - Polymorph energy (0 for the lowest one): 0.0 meV/atom

Record 4
! BaMnRh (PBE-GGA, optimized geometry); values from VASP
&SYSTEM
  ibrav = 0, nat = 6, ntyp = 3
/
ATOMIC_SPECIES
Rh 102.91 Rh.upf
Ba 137.33 Ba.upf
Mn 54.94 Mn.upf
CELL_PARAMETERS angstrom
3.757 -0.003 0.003
0.037 10.283 -0.024
-1.881 -0.680 4.117
ATOMIC_POSITIONS crystal
Rh 0.418 0.631 0.574
Rh 0.857 0.801 0.454
Ba 0.948 0.369 0.629
Ba 0.601 0.972 0.944
Mn 0.133 0.686 0.005
Mn 0.688 0.586 0.114
! - Total DFT energy (no corrections): -5.896 eV per atom

Record 5
! Tl4ZnSi (PBE-GGA, optimized geometry); values from VASP
&SYSTEM
  ibrav = 0, nat = 6, ntyp = 3
/
ATOMIC_SPECIES
Zn 65.41 Zn.upf
Tl 204.38 Tl.upf
Si 28.09 Si.upf
CELL_PARAMETERS angstrom
2.413 -5.253 2.569
2.051 0.060 5.984
-3.220 -3.098 4.479
ATOMIC_POSITIONS crystal
Zn 0.750 0.750 0.750
Tl 0.375 0.375 0.876
Tl 0.375 0.375 0.375
Tl 0.375 0.876 0.375
Tl 0.876 0.375 0.375
Si 0.000 0.000 0.000
! - E_form (uncorrected): 0.56 eV per atom

Record 6
! NaBe2B (PBE-GGA, optimized geometry); values from VASP
&SYSTEM
  ibrav = 0, nat = 8, ntyp = 3
/
ATOMIC_SPECIES
Be 9.01 Be.upf
Na 22.99 Na.upf
B 10.81 B.upf
CELL_PARAMETERS angstrom
-0.057 4.864 0.713
-2.079 0.331 4.539
3.198 1.954 3.500
ATOMIC_POSITIONS crystal
Be 0.965 0.349 0.008
Be 0.195 0.191 0.597
Be 0.032 0.753 0.625
Be 0.722 0.171 0.551
Na 0.414 0.592 0.984
Na 0.697 0.830 0.235
B 0.126 0.094 0.284
B 0.332 0.130 0.900
! - Total DFT energy (no corrections): -3.469 eV per atom

Record 7
! Li3H8Os (PBE-GGA, optimized geometry); values from VASP
&SYSTEM
  ibrav = 0, nat = 12, ntyp = 3
/
ATOMIC_SPECIES
H 1.01 H.upf
Li 6.94 Li.upf
Os 190.23 Os.upf
CELL_PARAMETERS angstrom
-0.150 0.267 5.251
-2.938 -2.977 -2.567
0.360 -5.241 0.277
ATOMIC_POSITIONS crystal
H 0.167 0.882 0.285
H 0.652 0.559 0.348
H 0.094 0.441 0.652
H 0.833 0.118 0.167
H 0.348 0.441 0.906
H 0.715 0.882 0.833
H 0.906 0.559 0.094
H 0.285 0.118 0.715
Li 0.250 0.500 0.250
Li 0.750 0.500 0.750
Li 0.500 0.000 0.500
Os 0.000 0.000 0.000
! - Total DFT energy (no corrections): -3.802 eV per atom

Record 8
! Sr2YMo (PBE-GGA, optimized geometry); values from VASP
&SYSTEM
  ibrav = 0, nat = 4, ntyp = 3
/
ATOMIC_SPECIES
Y 88.91 Y.upf
Mo 95.94 Mo.upf
Sr 87.62 Sr.upf
CELL_PARAMETERS angstrom
6.980 -0.003 -0.003
3.270 6.166 0.003
-4.312 -4.433 3.235
ATOMIC_POSITIONS crystal
Y 0.558 0.558 0.000
Mo 0.731 0.231 0.500
Sr 0.955 0.955 0.000
Sr 0.256 0.756 0.500
! - Polymorph energy (0 for the lowest one): 161.1 meV/atom

We obtain Fermi-level density of states values of 14.035, 7.967, 3.428, 7.387, 2.968, 1.813, 3.521, 4.431 states/eV/cell for the records listed above, in that order.